Computed, not measured: a relaxed GaRuSe3 crystal at the PBE level of DFT.

Unit cell a=4.9218 b=4.9218 c=4.9218 alpha=90.00 beta=90.00 gamma=90.00
Closest atoms and distances in Å follow each position.
Fractional coordinates of all 5 atoms:
1 Ga 0.0000 0.0000 0.0000  6 Se 2.46
2 Ru 0.5000 0.5000 0.5000  12 Se 3.48
3 Se 0.0000 0.0000 0.5000  2 Ga 2.46
4 Se 0.0000 0.5000 0.0000  2 Ga 2.46
5 Se 0.5000 0.0000 0.0000  2 Ga 2.46

ΔE to the lowest computed polymorph, meV/atom: 629
Space group: Pm-3m, No. 221
Formation energy from raw total energies, eV/atom: 0.94

***

Computed, not measured: a relaxed ZrMoS2N crystal at the PBE level of DFT.

Unit cell a=5.0480 b=5.0480 c=4.0261 alpha=90.00 beta=90.00 gamma=90.00
Closest atoms and distances in Å follow each position.
Fractional coordinates of all 5 atoms:
1 Zr 0.0000 0.0000 0.0000  2 N 2.01
2 Mo 0.5000 0.5000 0.5000  8 S 3.23, 4 N 3.57
3 S 0.0000 0.5000 0.0000  2 Zr 2.52
4 S 0.5000 0.0000 0.0000  2 Zr 2.52
5 N 0.0000 0.0000 0.5000  2 Zr 2.01

ΔE to the lowest computed polymorph, meV/atom: 512
Space group: P4/mmm, No. 123
Formation energy from raw total energies, eV/atom: 0.36